Entry 1:
Compound: Zn2CdAs
Source: Alexandria via LeMat-Bulk
Functional: GGA-PBE
Structure: relaxed

Results
- ΔH_f (0 K): 0.54 eV/f.u.
- V: 77.1 Å³/cell
- E above lowest polymorph: 5.75 kJ per mole of atoms
- Crystal system: tetragonal

a = 3.7576 Å, b = 3.7576 Å, c = 5.4639 Å
α = 90.00°, β = 90.00°, γ = 90.00°
Space group P4mm (No. 99)
One atom of each set of equivalent atoms:
Zn  0.0000  0.0000  0.0000
Zn  0.5000  0.5000  0.2872
Cd  0.5000  0.5000  0.7835
As  0.0000  0.0000  0.4646

Entry 2:
Compound: ZrScInRu
Source: Alexandria via LeMat-Bulk
Functional: GGA-PBE
Structure: relaxed

Results
- ΔH_f (0 K): -2.07 eV/f.u.
- V: 79.0 Å³/cell
- Crystal system: tetragonal

a = 3.2576 Å, b = 3.2576 Å, c = 7.4400 Å
α = 90.00°, β = 90.00°, γ = 90.00°
Space group P4mm (No. 99)
One atom of each set of equivalent atoms:
Zr  0.0000  0.0000  0.0000
Sc  0.0000  0.0000  0.5710
In  0.5000  0.5000  0.2888
Ru  0.5000  0.5000  0.7792

Entry 3:
Compound: Li5PmTl7
Source: Alexandria via LeMat-Bulk
Functional: GGA-PBE
Structure: relaxed

Results
- ΔH_f (0 K): -2.72 eV/f.u.
- V: 596.9 Å³/cell
- Crystal system: orthorhombic

a = 6.1035 Å, b = 9.9224 Å, c = 9.8569 Å
α = 90.00°, β = 90.00°, γ = 90.00°
Space group Imm2 (No. 44)
One atom of each set of equivalent atoms:
Li  0.0000  0.0000  0.0000
Li  0.2397  0.2479  0.4851
Pm  0.0000  0.5000  0.7421
Tl  0.0000  0.0000  0.4676
Tl  0.0000  0.1653  0.7512
Tl  0.0000  0.1896  0.2173
Tl  0.0000  0.5000  0.0853
Tl  0.0000  0.5000  0.4057

Entry 4:
Compound: Li2ZnNi
Source: Alexandria via LeMat-Bulk
Functional: GGA-PBE
Structure: relaxed

Results
- ΔH_f (0 K): 0.17 eV/f.u.
- V: 221.1 Å³/cell
- Crystal system: tetragonal

a = 3.4891 Å, b = 3.4891 Å, c = 18.1659 Å
α = 90.00°, β = 90.00°, γ = 90.00°
Space group I-42d (No. 122)
One atom of each set of equivalent atoms:
Li  0.2432  0.2500  0.1250
Zn  0.0000  0.0000  0.5000
Ni  0.0000  0.0000  0.0000

Entry 5:
Compound: Pr3Dy8Mg
Source: Alexandria via LeMat-Bulk
Functional: GGA-PBE
Structure: relaxed

Results
- ΔH_f (0 K): 6.89 eV/f.u.
- V: 852.1 Å³/cell
- Crystal system: tetragonal

a = 8.7007 Å, b = 8.7007 Å, c = 11.2564 Å
α = 90.00°, β = 90.00°, γ = 90.00°
Space group I-42m (No. 121)
One atom of each set of equivalent atoms:
Pr  0.0000  0.0000  0.0000
Pr  0.0000  0.5000  0.2500
Dy  0.1262  0.1262  0.7452
Dy  0.2408  0.2408  0.4907
Mg  0.0000  0.0000  0.5000

Entry 6:
Compound: Be3NbSn
Source: Alexandria via LeMat-Bulk
Functional: GGA-PBE
Structure: relaxed

Results
- ΔH_f (0 K): 6.59 eV/f.u.
- V: 91.1 Å³/cell
- E above lowest polymorph: 0.00 kJ per mole of atoms
- Crystal system: cubic

a = 4.4990 Å, b = 4.4990 Å, c = 4.4990 Å
α = 90.00°, β = 90.00°, γ = 90.00°
Space group Pm-3m (No. 221)
One atom of each set of equivalent atoms:
Be  0.0000  0.0000  0.5000
Nb  0.0000  0.0000  0.0000
Sn  0.5000  0.5000  0.5000

Entry 7:
Compound: AgBiAu
Source: Alexandria via LeMat-Bulk
Functional: GGA-PBE
Structure: relaxed

Results
- ΔH_f (0 K): 0.01 eV/f.u.
- V: 298.9 Å³/cell
- E above lowest polymorph: 1.67 kJ per mole of atoms
- Crystal system: cubic

a = 6.6864 Å, b = 6.6864 Å, c = 6.6864 Å
α = 90.00°, β = 90.00°, γ = 90.00°
Space group F-43m (No. 216)
One atom of each set of equivalent atoms:
Ag  0.0000  0.0000  0.0000
Bi  0.0000  0.0000  0.5000
Au  0.2500  0.2500  0.7500

Entry 8:
Compound: TaRh5
Source: Alexandria via LeMat-Bulk
Functional: GGA-PBE
Structure: relaxed

Results
- ΔH_f (0 K): -0.88 eV/f.u.
- V: 88.8 Å³/cell
- Crystal system: tetragonal

a = 2.7715 Å, b = 2.7715 Å, c = 11.5648 Å
α = 90.00°, β = 90.00°, γ = 90.00°
Space group P4/mmm (No. 123)
One atom of each set of equivalent atoms:
Ta  0.0000  0.0000  0.0000
Rh  0.0000  0.0000  0.3387
Rh  0.5000  0.5000  0.1703
Rh  0.5000  0.5000  0.5000

Entry 9:
Compound: HoSnCl5
Source: Alexandria via LeMat-Bulk
Functional: GGA-PBE
Structure: relaxed

Results
- V: 957.6 Å³/cell
- Formation energy without anion corrections: -162.2 kJ/mol of atoms
- Crystal system: monoclinic

a = 10.1816 Å, b = 10.2059 Å, c = 10.3109 Å
α = 90.00°, β = 116.66°, γ = 90.00°
Space group C2/c (No. 15)
One atom of each set of equivalent atoms:
Ho  0.2500  0.2500  0.0000
Sn  0.0000  0.0858  0.2500
Cl  0.0000  0.2372  0.7500
Cl  0.0981  0.2831  0.1478
Cl  0.2302  0.0034  0.5212

Entry 10:
Compound: ScWBr2
Source: Alexandria via LeMat-Bulk
Functional: GGA-PBE
Structure: relaxed

Results
- V: 348.0 Å³/cell
- E above lowest polymorph: 67.69 kJ per mole of atoms
- Formation energy without anion corrections: 35.8 kJ/mol of atoms
- Crystal system: tetragonal

a = 4.5091 Å, b = 4.5091 Å, c = 17.1160 Å
α = 90.00°, β = 90.00°, γ = 90.00°
Space group I-42d (No. 122)
One atom of each set of equivalent atoms:
Sc  0.0000  0.0000  0.0000
W  0.0000  0.0000  0.5000
Br  0.2358  0.2500  0.6250

Entry 11:
Compound: Sc4SbSe2
Source: Alexandria via LeMat-Bulk
Functional: GGA-PBE
Structure: relaxed

Results
- V: 641.3 Å³/cell
- E above lowest polymorph: 8.70 kJ per mole of atoms
- Formation energy without anion corrections: -108.2 kJ/mol of atoms
- Crystal system: tetragonal

a = 8.7036 Å, b = 8.7036 Å, c = 8.4657 Å
α = 90.00°, β = 90.00°, γ = 90.00°
Space group I4_1/amd (No. 141, origin choice 2)
One atom of each set of equivalent atoms:
Sc  0.0000  0.0681  0.1919
Sb  0.0000  0.2500  0.8750
Se  0.0000  0.0000  0.5000

Entry 12:
Compound: KBaSc
Source: Alexandria via LeMat-Bulk
Functional: GGA-PBE
Structure: relaxed

Results
- ΔH_f (0 K): 1.38 eV/f.u.
- V: 284.4 Å³/cell
- E above lowest polymorph: 0.00 kJ per mole of atoms
- Crystal system: tetragonal

a = 3.8901 Å, b = 3.8901 Å, c = 18.7966 Å
α = 90.00°, β = 90.00°, γ = 90.00°
Space group I4mm (No. 107)
One atom of each set of equivalent atoms:
K  0.0000  0.0000  0.0000
Ba  0.0000  0.0000  0.7045
Sc  0.0000  0.0000  0.3389

Q: V of number 1 (Zn2CdAs)?
A: 77.1 Å³/cell

Q: The lowest V belongs to which entry?
A: Zn2CdAs

Q: V of number 6 (Be3NbSn)?
A: 91.1 Å³/cell

Q: Look up the V of the twelfth one.
A: 284.4 Å³/cell